(1)
Compound: NdBi
Source: the Alexandria database
Functional: PBEsol
Structure: relaxed

a = 6.4151 Å, b = 6.4151 Å, c = 6.4151 Å
α = 90.00°, β = 90.00°, γ = 90.00°
Positions (direct):
Nd 0.0000 0.0000 0.0000
Nd 0.0000 0.5000 0.5000
Nd 0.5000 0.0000 0.5000
Nd 0.5000 0.5000 0.0000
Bi 0.0000 0.0000 0.5000
Bi 0.0000 0.5000 0.0000
Bi 0.5000 0.0000 0.0000
Bi 0.5000 0.5000 0.5000

Results
Total DFT energy (no corrections) in eV per atom: -5.702

***

(2)
Compound: LiSiTc2
Source: the Alexandria database
Functional: PBEsol
Structure: relaxed

a = 3.0844 Å, b = 3.0844 Å, c = 5.4366 Å
α = 90.00°, β = 90.00°, γ = 90.00°
Positions (direct):
Li 0.0000 0.0000 0.0000
Si 0.0000 0.0000 0.5000
Tc 0.5000 0.5000 0.2709
Tc 0.5000 0.5000 0.7291

Results
Total DFT energy (no corrections) in eV per atom: -7.486

***

(3)
Compound: Li5Ca9B7O21F2
Source: the Alexandria database
Functional: PBEsol
Structure: relaxed

a = 3.5356 Å, b = 12.8162 Å, c = 12.8651 Å
α = 60.13°, β = 89.84°, γ = 87.99°
Positions (direct):
Li 0.0000 0.0000 0.0000
Li 0.0068 0.3216 0.1607
Li 0.4750 0.3722 0.5132
Li 0.9253 0.8474 0.4765
Li 0.9701 0.6686 0.8839
Ca 0.0006 0.1599 0.5874
Ca 0.3963 0.8451 0.2706
Ca 0.4568 0.6828 0.6963
Ca 0.4743 0.5445 0.1003
Ca 0.4998 0.9241 0.8465
Ca 0.5041 0.2067 0.9955
Ca 0.5288 0.1120 0.3678
Ca 0.9449 0.5745 0.3308
Ca 0.9819 0.4209 0.7201
B 0.4413 0.6462 0.5032
B 0.4880 0.3462 0.3357
B 0.4985 0.1706 0.8008
B 0.9571 0.7671 0.0949
B 0.9751 0.0581 0.2138
B 0.9827 0.4607 0.9265
B 0.9901 0.9280 0.6237
O 0.0003 0.9533 0.7164
O 0.0104 0.8585 0.9804
O 0.0310 0.0230 0.5065
O 0.0365 0.1538 0.2311
O 0.0461 0.0661 0.1045
O 0.4203 0.7627 0.4852
O 0.4335 0.6324 0.4036
O 0.4634 0.4599 0.3228
O 0.4696 0.5500 0.6186
O 0.4941 0.2462 0.4500
O 0.4953 0.1519 0.7043
O 0.4991 0.2849 0.7875
O 0.5010 0.0724 0.9162
O 0.5065 0.3321 0.2362
O 0.8403 0.9532 0.3075
O 0.9052 0.7903 0.1892
O 0.9355 0.8133 0.6451
O 0.9577 0.6473 0.1224
O 0.9732 0.5564 0.8094
O 0.9858 0.4875 0.0187
O 0.9890 0.3439 0.9479
F 0.4676 0.7086 0.8844
F 0.9737 0.3856 0.5434

Results
Total DFT energy (no corrections) in eV per atom: -7.210

***

(4)
Compound: Zr2TaW
Source: the Alexandria database
Functional: PBEsol
Structure: relaxed

a = 2.7840 Å, b = 4.7814 Å, c = 5.6733 Å
α = 90.00°, β = 90.00°, γ = 90.00°
Positions (direct):
Zr 0.0000 0.0000 0.0000
Zr 0.5000 0.5000 0.2540
Ta 0.0000 0.0000 0.5164
W 0.5000 0.5000 0.7432

Results
Relative energy among the computed polymorphs in meV per atom: 161

***

(5)
Compound: MgSb4Br
Source: the Alexandria database
Functional: PBEsol
Structure: relaxed

a = 6.2000 Å, b = 6.2000 Å, c = 6.2000 Å
α = 60.00°, β = 60.00°, γ = 60.00°
Positions (direct):
Mg 0.0000 0.0000 0.0000
Sb 0.3805 0.3805 0.3805
Sb 0.3805 0.3805 0.8585
Sb 0.3805 0.8585 0.3805
Sb 0.8585 0.3805 0.3805
Br 0.7500 0.7500 0.7500

Results
Total DFT energy (no corrections) in eV per atom: -3.548

***

(6)
Compound: NiIrW2
Source: the Alexandria database
Functional: PBEsol
Structure: relaxed

a = 2.7181 Å, b = 4.3355 Å, c = 4.7352 Å
α = 90.00°, β = 90.00°, γ = 90.00°
Positions (direct):
Ni 0.0000 0.0000 0.0000
Ir 0.0000 0.5000 0.3367
W 0.5000 0.0000 0.5079
W 0.5000 0.5000 0.8547

Results
Total DFT energy (no corrections) in eV per atom: -11.039

***

(7)
Compound: Tl2AgSb
Source: the Alexandria database
Functional: PBEsol
Structure: relaxed

a = 3.1678 Å, b = 4.0408 Å, c = 7.9043 Å
α = 90.00°, β = 90.00°, γ = 90.00°
Positions (direct):
Tl 0.0000 0.0000 0.0000
Tl 0.5000 0.5000 0.2943
Ag 0.0000 0.0000 0.5291
Sb 0.5000 0.5000 0.7148

Results
Relative energy among the computed polymorphs in meV per atom: 11

***

(8)
Compound: MnZn2Ag
Source: the Alexandria database
Functional: PBEsol
Structure: relaxed

a = 2.7395 Å, b = 2.7395 Å, c = 7.3972 Å
α = 90.00°, β = 90.00°, γ = 90.00°
Positions (direct):
Mn 0.0000 0.0000 0.0000
Zn 0.5000 0.5000 0.2314
Zn 0.5000 0.5000 0.7686
Ag 0.0000 0.0000 0.5000

Results
Total DFT energy (no corrections) in eV per atom: -4.028

***

(9)
Compound: CrFeAs
Source: the Alexandria database
Functional: PBEsol
Structure: relaxed

a = 5.9123 Å, b = 5.9123 Å, c = 3.6226 Å
α = 90.00°, β = 90.00°, γ = 120.00°
Positions (direct):
Cr 0.0000 0.5851 0.0000
Cr 0.4149 0.4149 0.0000
Cr 0.5851 0.0000 0.0000
Fe 0.0000 0.2468 0.5000
Fe 0.2468 0.0000 0.5000
Fe 0.7532 0.7532 0.5000
As 0.0000 0.0000 0.0000
As 0.3333 0.6667 0.5000
As 0.6667 0.3333 0.5000

Results
Total DFT energy (no corrections) in eV per atom: -8.234

***

(10)
Compound: IrCl3
Source: the Alexandria database
Functional: PBEsol
Structure: relaxed

a = 3.0779 Å, b = 4.6666 Å, c = 11.9090 Å
α = 90.00°, β = 90.00°, γ = 90.00°
Positions (direct):
Ir 0.0000 0.0000 0.0000
Ir 0.5000 0.5000 0.5000
Cl 0.0000 0.0000 0.5000
Cl 0.0000 0.5000 0.3494
Cl 0.0000 0.5000 0.6506
Cl 0.5000 0.0000 0.1506
Cl 0.5000 0.0000 0.8494
Cl 0.5000 0.5000 0.0000

Results
Total DFT energy (no corrections) in eV per atom: -3.855

***

(11)
Compound: KBe2
Source: the Alexandria database
Functional: PBEsol
Structure: relaxed

a = 3.8044 Å, b = 3.8044 Å, c = 5.3583 Å
α = 90.00°, β = 90.00°, γ = 120.00°
Positions (direct):
K 0.0000 0.0000 0.0000
Be 0.3333 0.6667 0.5000
Be 0.6667 0.3333 0.5000

Results
Total DFT energy (no corrections) in eV per atom: -2.076

***

(12)
Compound: MoIr3
Source: the Alexandria database
Functional: PBEsol
Structure: relaxed

a = 2.7457 Å, b = 4.3608 Å, c = 4.7593 Å
α = 90.00°, β = 90.00°, γ = 90.00°
Positions (direct):
Mo 0.0000 0.0000 0.0000
Ir 0.0000 0.5000 0.6678
Ir 0.5000 0.0000 0.5086
Ir 0.5000 0.5000 0.1727

Results
Relative energy among the computed polymorphs in meV per atom: 52

***

(13)
Compound: Tm3Ga5Ni
Source: the Alexandria database
Functional: PBEsol
Structure: relaxed

a = 6.7147 Å, b = 6.7147 Å, c = 4.1245 Å
α = 90.00°, β = 90.00°, γ = 120.00°
Positions (direct):
Tm 0.0000 0.4060 0.0000
Tm 0.4060 0.0000 0.0000
Tm 0.5940 0.5940 0.0000
Ga 0.0000 0.7642 0.5000
Ga 0.2358 0.2358 0.5000
Ga 0.3333 0.6667 0.5000
Ga 0.6667 0.3333 0.5000
Ga 0.7642 0.0000 0.5000
Ni 0.0000 0.0000 0.0000

Results
Total DFT energy (no corrections) in eV per atom: -4.898